TbErThCd, relaxed, DFT GGA-PBE; electronic total energy = -18.18 eV per cell; size of the total moment = 0.00 μB/f.u.; volume = 114.9 Å³ per cell; formation energy = -164 meV per atom; DOS at the Fermi energy = 1.2597 states/eV per atom
1.0
-2.8212 0.6415 2.1529
-1.2864 -3.2947 -0.7041
4.5095 -3.2293 6.8716
Cd Er Tb Th
1 1 1 1
Cartesian
2.5585 -1.8322 3.8987
-0.5139 -2.4294 3.0709
1.5631 -3.9168 6.2360
0.3327 -0.2382 0.5070

CrNi2, relaxed, DFT GGA-PBE; electronic total energy = -20.96 eV per cell; size of the total moment = 0.50 μB/f.u.; volume = 33.2 Å³ per cell; formation energy = 76 meV per atom; DOS at the Fermi energy = 1.7393 states/eV per atom
1.0
2.4936 0.0125 0.0038
1.2576 2.1793 -0.0003
1.2509 -0.7211 6.1364
Cr Ni
1 2
Cartesian
3.7869 1.4216 6.0904
1.2770 -0.0336 4.0607
3.7883 1.4185 1.9839

AcCe2Ga6, relaxed, DFT GGA-PBE; electronic total energy = -39.38 eV per cell; size of the total moment = 1.52 μB/f.u.; volume = 213.0 Å³ per cell; formation energy = -583 meV per atom; DOS at the Fermi energy = 1.6437 states/eV per atom
1.0
-3.6987 1.5673 1.7948
-2.3364 -6.9843 1.2844
4.0318 3.6018 5.1633
Ga Ce Ac
6 2 1
Cartesian
-2.6374 -1.5720 1.3306
-0.7257 -1.4579 5.1704
0.8226 3.1706 4.3192
0.6341 -0.2431 6.9119
-1.2775 -0.3572 3.0721
-0.4895 1.9985 2.6389
-3.9123 -1.8882 4.3722
1.9091 0.0731 3.8703
4.0318 3.6018 5.1633

AcNd2Y, relaxed, DFT GGA-PBE; electronic total energy = -19.95 eV per cell; size of the total moment = 0.00 μB/f.u.; volume = 147.5 Å³ per cell; formation energy = 41 meV per atom; DOS at the Fermi energy = 1.4242 states/eV per atom
1.0
-0.2588 2.3384 -2.9197
-2.7970 2.4920 -0.1640
5.8364 9.6902 4.8359
Nd Y Ac
2 1 1
Cartesian
0.7620 3.7089 0.4952
2.0187 10.8117 1.2569
1.3903 7.2603 0.8760
0.0000 0.0000 0.0000

MgAlW, relaxed, DFT GGA-PBE; electronic total energy = -15.16 eV per cell; size of the total moment = 1.15 μB/f.u.; volume = 62.2 Å³ per cell; formation energy = 1045 meV per atom; DOS at the Fermi energy = 0.9318 states/eV per atom
1.0
4.4480 0.0000 0.0000
2.2240 3.8521 0.0000
2.2240 1.2840 3.6318
Mg Al W
1 1 1
Cartesian
4.4480 2.5680 1.8159
0.0000 0.0000 0.0000
6.6720 3.8521 2.7238

Tb2Y2Tm7, relaxed, DFT GGA-PBE; electronic total energy = -51.70 eV per cell; size of the total moment = 0.00 μB/f.u.; volume = 347.3 Å³ per cell; formation energy = 163 meV per atom; DOS at the Fermi energy = 1.6774 states/eV per atom
1.0
-1.7111 -1.8443 5.4553
2.7035 -7.4364 0.8149
5.4381 2.7455 5.1148
Tm Tb Y
7 2 2
Cartesian
5.2486 -4.6617 7.7005
1.6358 -4.5368 1.7682
4.7947 -1.9984 9.6168
0.0000 0.0000 0.0000
3.0752 0.8223 4.0314
3.3554 -7.3574 7.3536
1.1820 -1.8735 3.6845
1.9361 -3.3983 6.8155
4.4945 -3.1369 4.5695
4.0015 -0.3404 6.9287
2.4291 -6.1947 4.4563